# Tc2OsO, relaxed, DFT PBE
# Energy in Ha/atom: -0.3295
# Total magnetization in μB/f.u.: 0.000
# Formation energy (no corrections) in kcal/mol of atoms: 6.08
# N(E_F) in states/eV/cell: 5.3
data_Tc2OsO
_symmetry_space_group_name_H-M 'I -4 2 d'
_symmetry_Int_Tables_number 122
_symmetry_space_group_name_Hall 'I -4 2bw'
_cell_length_a 5.058
_cell_length_b 5.058
_cell_length_c 10.144
_cell_angle_alpha 90.00
_cell_angle_beta 90.00
_cell_angle_gamma 90.00
loop_
_atom_site_label
_atom_site_type_symbol
_atom_site_fract_x
_atom_site_fract_y
_atom_site_fract_z
_atom_site_occupancy
Tc1 Tc 0.184 0.250 0.125 1
Os1 Os 0.000 0.000 0.500 1
O1 O 0.000 0.000 0.000 1